Entry 1:
This record from Alexandria describes a relaxed Cu2AsRu crystal. The functional is GGA-PBE.

Cell: 4.882 7.597 2.995 Å, 90.00 90.00 90.00°
Sites, in units of the cell vectors:
1 Cu 0.250 0.250 0.000
2 Cu 0.250 0.750 0.000
3 Cu 0.750 0.250 0.000
4 Cu 0.750 0.750 0.000
5 As 0.000 0.000 0.500
6 As 0.500 0.500 0.500
7 Ru 0.000 0.500 0.500
8 Ru 0.500 0.000 0.500

Results
- crystal system = orthorhombic

Entry 2:
This record from Alexandria describes a relaxed Cd3Ag3HgAu2 crystal. The functional is GGA-PBE.

Cell: 8.153 8.153 3.065 Å, 90.00 90.00 120.00°
Sites, in units of the cell vectors:
1 Cd 0.000 0.373 0.000
2 Cd 0.373 0.000 0.000
3 Cd 0.627 0.627 0.000
4 Ag 0.000 0.694 0.500
5 Ag 0.306 0.306 0.500
6 Ag 0.694 0.000 0.500
7 Hg 0.000 0.000 0.000
8 Au 0.333 0.667 0.500
9 Au 0.667 0.333 0.500

Results
- crystal system = hexagonal

Entry 3:
This record from Alexandria describes a relaxed NiRu2Pt2 crystal. The functional is GGA-PBE.

Cell: 6.258 6.258 3.901 Å, 90.00 90.00 90.00°
Sites, in units of the cell vectors:
1 Ni 0.000 0.000 0.000
2 Ni 0.500 0.500 0.000
3 Ru 0.136 0.364 0.000
4 Ru 0.364 0.864 0.000
5 Ru 0.636 0.136 0.000
6 Ru 0.864 0.636 0.000
7 Pt 0.160 0.660 0.500
8 Pt 0.340 0.160 0.500
9 Pt 0.660 0.840 0.500
10 Pt 0.840 0.340 0.500

Results
- offset from the most stable computed form (eV/atom) = 0.4143
- crystal system = tetragonal

no.,formation energy (meV/atom)
1,186.3
2,-69.4
3,368.9